No. 1
Here is Ti2PdC after structural relaxation from Alexandria via LeMat-Bulk. Energies are from PBE-GGA.

Cell lengths 2.974, 4.399, 8.284 Å; angles 90.00, 100.34, 90.00 degrees
Sites, in units of the cell vectors:
Ti: 0.213 0.250 0.426
Ti: 0.787 0.750 0.574
Ti: 0.394 0.250 0.788
Ti: 0.606 0.750 0.212
Pd: 0.048 0.250 0.096
Pd: 0.952 0.750 0.904
C: 0.803 0.250 0.606
C: 0.197 0.750 0.394

The symmetry is Cmcm, No. 63. The magnetization comes out at 0.0 μB per formula unit. The calculated volume comes out at 106.6 Å³ per cell. The formation energy comes out at -688 meV per atom.

***

No. 2
Here is TiPd3C after structural relaxation from Alexandria via LeMat-Bulk. Energies are from PBE-GGA.

Cell lengths 4.618, 4.618, 4.618 Å; angles 90.00, 90.00, 90.00 degrees
Sites, in units of the cell vectors:
C: 0.500 0.500 0.500
Pd: 0.000 0.500 0.000
Pd: 0.000 0.000 0.500
Pd: 0.500 0.000 0.000
Ti: 0.000 0.000 0.000

The symmetry is Pm-3m, No. 221. The magnetization comes out at 0.0 μB per formula unit. The calculated volume comes out at 98.5 Å³ per cell. The formation energy comes out at 1809 meV per atom.

***

No. 3
Here is Ti6Pd2C after structural relaxation from Alexandria via LeMat-Bulk. Energies are from PBE-GGA.

Cell lengths 3.040, 7.304, 7.160 Å; angles 120.67, 90.00, 90.00 degrees
Sites, in units of the cell vectors:
Ti: 0.500 0.567 0.000
Ti: 0.500 0.376 0.368
Ti: 0.500 0.008 0.632
Ti: 0.000 0.233 0.000
Ti: 0.000 0.779 0.785
Ti: 0.000 0.994 0.215
Pd: 0.000 0.335 0.656
Pd: 0.000 0.679 0.344
C: 0.500 0.029 0.000

The symmetry is Amm2, No. 38. The magnetization comes out at 0.0 μB per formula unit. The calculated volume comes out at 136.7 Å³ per cell. The formation energy comes out at -349 meV per atom.

***

No. 4
Here is Ti2PdC after structural relaxation from Alexandria via LeMat-Bulk. Energies are from PBE-GGA.

Cell lengths 6.015, 6.015, 5.395 Å; angles 56.12, 56.12, 90.00 degrees
Sites, in units of the cell vectors:
C: 0.500 0.500 0.000
C: 0.250 0.750 0.500
Pd: 0.000 0.000 0.000
Pd: 0.750 0.250 0.500
Ti: 0.553 0.125 0.250
Ti: 0.197 0.625 0.250
Ti: 0.375 0.447 0.750
Ti: 0.875 0.803 0.750

The symmetry is I-42d, No. 122. The magnetization comes out at 0.0 μB per formula unit. The calculated volume comes out at 120.1 Å³ per cell. The formation energy comes out at -139 meV per atom.

***

No. 5
Here is Ti2PdC after structural relaxation from Alexandria via LeMat-Bulk. Energies are from PBE-GGA.

Cell lengths 3.016, 3.016, 6.983 Å; angles 77.53, 77.53, 60.00 degrees
Sites, in units of the cell vectors:
C: 0.000 0.000 0.000
Pd: 0.500 0.500 0.500
Ti: 0.726 0.726 0.823
Ti: 0.274 0.274 0.177

The symmetry is R-3m, No. 166. The magnetization comes out at 0.0 μB per formula unit. The calculated volume comes out at 53.3 Å³ per cell. The formation energy comes out at -697 meV per atom.

***

No. 6
Here is TiPd3C after structural relaxation from Alexandria via LeMat-Bulk. Energies are from PBE-GGA.

Cell lengths 4.169, 4.169, 4.169 Å; angles 90.00, 90.00, 90.00 degrees
Sites, in units of the cell vectors:
C: 0.000 0.000 0.000
Pd: 0.000 0.500 0.000
Pd: 0.000 0.000 0.500
Pd: 0.500 0.000 0.000
Ti: 0.500 0.500 0.500

The symmetry is Pm-3m, No. 221. The magnetization comes out at 0.0 μB per formula unit. The calculated volume comes out at 72.5 Å³ per cell. The formation energy comes out at 206 meV per atom.

***

No. 7
Here is Ti2PdC after structural relaxation from Alexandria via LeMat-Bulk. Energies are from PBE-GGA.

Cell lengths 3.031, 3.031, 6.939 Å; angles 77.39, 77.39, 60.00 degrees
Sites, in units of the cell vectors:
Ti: 0.058 0.058 0.825
Ti: 0.274 0.274 0.177
Pd: 0.500 0.500 0.499
C: 0.667 0.667 0.999

The symmetry is R3m, No. 160. The magnetization comes out at 0.0 μB per formula unit. The calculated volume comes out at 53.4 Å³ per cell. The formation energy comes out at -679 meV per atom.

***

No. 8
Here is Ti4PdC after structural relaxation from Alexandria via LeMat-Bulk. Energies are from PBE-GGA.

Cell lengths 5.941, 5.590, 5.692 Å; angles 90.00, 99.53, 90.00 degrees
Sites, in units of the cell vectors:
Ti: 0.901 0.630 0.171
Ti: 0.599 0.130 0.829
Ti: 0.302 0.330 0.405
Ti: 0.198 0.830 0.595
Ti: 0.099 0.370 0.829
Ti: 0.401 0.870 0.171
Ti: 0.698 0.670 0.595
Ti: 0.802 0.170 0.405
Pd: 0.000 0.000 0.000
Pd: 0.500 0.500 0.000
C: 0.500 0.000 0.500
C: 0.000 0.500 0.500

The symmetry is P2_1/c, No. 14. The magnetization comes out at 0.0 μB per formula unit. The calculated volume comes out at 186.4 Å³ per cell. The formation energy comes out at -281 meV per atom.

***

No. 9
Here is TiPdC3 after structural relaxation from Alexandria via LeMat-Bulk. Energies are from PBE-GGA.

Cell lengths 4.015, 4.015, 4.015 Å; angles 90.00, 90.00, 90.00 degrees
Sites, in units of the cell vectors:
C: 0.000 0.500 0.000
C: 0.000 0.000 0.500
C: 0.500 0.000 0.000
Pd: 0.500 0.500 0.500
Ti: 0.000 0.000 0.000

The symmetry is Pm-3m, No. 221. The magnetization comes out at 0.0 μB per formula unit. The calculated volume comes out at 64.7 Å³ per cell. The formation energy comes out at 2026 meV per atom.

***

No. 10
Here is TiPd2C after structural relaxation from Alexandria via LeMat-Bulk. Energies are from PBE-GGA.

Cell lengths 5.192, 5.192, 6.242 Å; angles 65.42, 65.42, 90.00 degrees
Sites, in units of the cell vectors:
C: 0.500 0.500 0.000
C: 0.250 0.750 0.500
Pd: 0.535 0.125 0.250
Pd: 0.215 0.625 0.250
Pd: 0.375 0.465 0.750
Pd: 0.875 0.785 0.750
Ti: 0.000 0.000 0.000
Ti: 0.750 0.250 0.500

The symmetry is I-42d, No. 122. The magnetization comes out at 0.0 μB per formula unit. The calculated volume comes out at 136.1 Å³ per cell. The formation energy comes out at 551 meV per atom.

***

No. 11
Here is Ti4Pd2C after structural relaxation from Alexandria via LeMat-Bulk. Energies are from PBE-GGA.

Cell lengths 4.148, 4.148, 7.030 Å; angles 72.84, 72.84, 90.00 degrees
Sites, in units of the cell vectors:
C: 0.000 0.000 0.000
Pd: 0.359 0.359 0.282
Pd: 0.641 0.641 0.718
Ti: 0.169 0.169 0.662
Ti: 0.831 0.831 0.338
Ti: 0.000 0.500 0.000
Ti: 0.500 0.000 0.000

The symmetry is I4/mmm, No. 139. The magnetization comes out at 0.0 μB per formula unit. The calculated volume comes out at 109.9 Å³ per cell. The formation energy comes out at -413 meV per atom.

***

No. 12
Here is Ti8PdC2 after structural relaxation from Alexandria via LeMat-Bulk. Energies are from PBE-GGA.

Cell lengths 4.368, 6.280, 6.280 Å; angles 112.10, 96.68, 96.68 degrees
Sites, in units of the cell vectors:
Ti: 0.928 0.924 0.661
Ti: 0.928 0.661 0.924
Ti: 0.296 0.591 0.591
Ti: 0.500 0.747 0.253
Ti: 0.500 0.253 0.747
Ti: 0.704 0.409 0.409
Ti: 0.072 0.339 0.076
Ti: 0.072 0.076 0.339
Pd: 0.500 0.000 0.000
C: 0.000 0.305 0.695
C: 0.000 0.695 0.305

The symmetry is C2/m, No. 12. The magnetization comes out at 0.0 μB per formula unit. The calculated volume comes out at 156.1 Å³ per cell. The formation energy comes out at -300 meV per atom.

***

No. 13
Here is TiPdC3 after structural relaxation from Alexandria via LeMat-Bulk. Energies are from PBE-GGA.

Cell lengths 3.972, 3.972, 3.972 Å; angles 90.00, 90.00, 90.00 degrees
Last column: magnetic moment on the atom in μB.
Sites, in units of the cell vectors:
C: 0.000 0.500 0.000  0.10
C: 0.000 0.000 0.500  0.10
C: 0.500 0.000 0.000  0.11
Pd: 0.000 0.000 0.000  0.10
Ti: 0.500 0.500 0.500  0.71

The symmetry is Pm-3m, No. 221. The magnetization comes out at 1.4 μB per formula unit. The calculated volume comes out at 62.7 Å³ per cell. The formation energy comes out at 2316 meV per atom.

***

No. 14
Here is Ti2VPdC after structural relaxation from Alexandria via LeMat-Bulk. Energies are from PBE-GGA.

Cell lengths 4.187, 4.187, 3.950 Å; angles 90.00, 90.00, 90.00 degrees
Last column: magnetic moment on the atom in μB.
Sites, in units of the cell vectors:
C: 0.000 0.000 0.000  -0.02
Ti: 0.000 0.500 0.000  0.01
Ti: 0.500 0.000 0.000  0.01
Pd: 0.500 0.500 0.500  0.03
V: 0.000 0.000 0.500  0.68

The symmetry is P4/mmm, No. 123. The magnetization comes out at 0.8 μB per formula unit. The calculated volume comes out at 69.3 Å³ per cell. The formation energy comes out at -470 meV per atom.

***

No. 15
Here is TiV2PdC after structural relaxation from Alexandria via LeMat-Bulk. Energies are from PBE-GGA.

Cell lengths 3.975, 3.975, 4.189 Å; angles 90.00, 90.00, 90.00 degrees
Last column: magnetic moment on the atom in μB.
Sites, in units of the cell vectors:
C: 0.000 0.000 0.000  -0.03
Ti: 0.000 0.000 0.500  0.02
Pd: 0.500 0.500 0.500  0.04
V: 0.000 0.500 0.000  0.57
V: 0.500 0.000 0.000  0.57

The symmetry is P4/mmm, No. 123. The magnetization comes out at 1.3 μB per formula unit. The calculated volume comes out at 66.2 Å³ per cell. The formation energy comes out at -365 meV per atom.

***

No. 16
Here is Zr2TiPdC after structural relaxation from Alexandria via LeMat-Bulk. Energies are from PBE-GGA.

Cell lengths 4.539, 4.539, 4.144 Å; angles 90.00, 90.00, 90.00 degrees
Sites, in units of the cell vectors:
C: 0.000 0.000 0.000
Zr: 0.000 0.500 0.000
Zr: 0.500 0.000 0.000
Pd: 0.500 0.500 0.500
Ti: 0.000 0.000 0.500

The symmetry is P4/mmm, No. 123. The magnetization comes out at 0.0 μB per formula unit. The calculated volume comes out at 85.4 Å³ per cell. The formation energy comes out at -505 meV per atom.

***

No. 17
Here is TlPd2C2 after structural relaxation from Alexandria via LeMat-Bulk. Energies are from PBE-GGA.

Cell lengths 7.291, 7.291, 3.139 Å; angles 90.00, 90.00, 90.00 degrees
Sites, in units of the cell vectors:
Tl: 0.000 0.000 0.000
Tl: 0.500 0.500 0.000
C: 0.436 0.936 0.000
C: 0.936 0.564 0.000
C: 0.564 0.064 0.000
C: 0.064 0.436 0.000
Pd: 0.312 0.812 0.500
Pd: 0.812 0.688 0.500
Pd: 0.688 0.188 0.500
Pd: 0.188 0.312 0.500

The symmetry is P4/mbm, No. 127. The magnetization comes out at 0.0 μB per formula unit. The calculated volume comes out at 166.9 Å³ per cell. The formation energy comes out at 703 meV per atom.

***

No. 18
Here is TlPd2C2 after structural relaxation from Alexandria via LeMat-Bulk. Energies are from PBE-GGA.

Cell lengths 4.174, 4.174, 4.926 Å; angles 64.93, 64.93, 90.00 degrees
Sites, in units of the cell vectors:
Tl: 0.000 0.000 0.000
C: 0.416 0.416 0.169
C: 0.584 0.584 0.831
Pd: 0.750 0.250 0.500
Pd: 0.250 0.750 0.500

The symmetry is I4/mmm, No. 139. The magnetization comes out at 0.0 μB per formula unit. The calculated volume comes out at 68.7 Å³ per cell. The formation energy comes out at 808 meV per atom.

***

No. 19
Here is Y2TlPdC after structural relaxation from Alexandria via LeMat-Bulk. Energies are from PBE-GGA.

Cell lengths 4.957, 4.957, 4.212 Å; angles 90.00, 90.00, 90.00 degrees
Sites, in units of the cell vectors:
Y: 0.000 0.500 0.000
Y: 0.500 0.000 0.000
Tl: 0.500 0.500 0.500
C: 0.000 0.000 0.000
Pd: 0.000 0.000 0.500

The symmetry is P4/mmm, No. 123. The magnetization comes out at 0.0 μB per formula unit. The calculated volume comes out at 103.5 Å³ per cell. The formation energy comes out at -345 meV per atom.

***

No. 20
Here is ZrTlPdC2 after structural relaxation from Alexandria via LeMat-Bulk. Energies are from PBE-GGA.

Cell lengths 4.338, 4.944, 4.338 Å; angles 90.00, 90.00, 90.00 degrees
Sites, in units of the cell vectors:
C: 0.000 0.000 0.500
C: 0.500 0.000 0.000
Tl: 0.000 0.000 0.000
Zr: 0.500 0.500 0.500
Pd: 0.000 0.500 0.000

The symmetry is P4/mmm, No. 123. The magnetization comes out at 0.0 μB per formula unit. The calculated volume comes out at 93.0 Å³ per cell. The formation energy comes out at 2267 meV per atom.

***

No. 21
Here is TmPdC after structural relaxation from Alexandria via LeMat-Bulk. Energies are from PBE-GGA.

Cell lengths 3.521, 3.518, 9.471 Å; angles 100.77, 89.99, 59.98 degrees
Sites, in units of the cell vectors:
C: 0.770 0.459 0.188
C: 0.230 0.541 0.812
Tm: 0.389 0.222 0.332
Tm: 0.611 0.778 0.668
Pd: 0.131 0.737 0.105
Pd: 0.869 0.263 0.895

The symmetry is C2/m, No. 12. The magnetization comes out at 0.0 μB per formula unit. The calculated volume comes out at 99.2 Å³ per cell. The formation energy comes out at 68 meV per atom.

***

No. 22
Here is Tm3PdC after structural relaxation from Alexandria via LeMat-Bulk. Energies are from PBE-GGA.

Cell lengths 4.755, 4.755, 4.755 Å; angles 90.00, 90.00, 90.00 degrees
Sites, in units of the cell vectors:
C: 0.000 0.000 0.000
Tm: 0.000 0.500 0.000
Tm: 0.000 0.000 0.500
Tm: 0.500 0.000 0.000
Pd: 0.500 0.500 0.500

The symmetry is Pm-3m, No. 221. The magnetization comes out at 0.0 μB per formula unit. The calculated volume comes out at 107.5 Å³ per cell. The formation energy comes out at -426 meV per atom.

***

No. 23
Here is Tm3PdC after structural relaxation from Alexandria via LeMat-Bulk. Energies are from PBE-GGA.

Cell lengths 3.594, 8.564, 13.613 Å; angles 90.00, 90.00, 90.00 degrees
Sites, in units of the cell vectors:
Tm: 0.250 0.323 0.531
Tm: 0.750 0.811 0.193
Tm: 0.750 0.501 0.895
Tm: 0.750 0.001 0.605
Tm: 0.750 0.677 0.469
Tm: 0.250 0.999 0.395
Tm: 0.250 0.823 0.969
Tm: 0.750 0.311 0.307
Tm: 0.250 0.689 0.693
Tm: 0.250 0.189 0.807
Tm: 0.750 0.177 0.031
Tm: 0.250 0.499 0.105
Pd: 0.750 0.906 0.813
Pd: 0.250 0.094 0.187
Pd: 0.750 0.406 0.687
Pd: 0.250 0.594 0.313
C: 0.250 0.338 0.953
C: 0.250 0.838 0.547
C: 0.750 0.162 0.453
C: 0.750 0.662 0.047

The symmetry is Pnma, No. 62. The magnetization comes out at 0.0 μB per formula unit. The calculated volume comes out at 419.0 Å³ per cell. The formation energy comes out at -555 meV per atom.

***

No. 24
Here is U2PdC after structural relaxation from Alexandria via LeMat-Bulk. Energies are from PBE-GGA.

Cell lengths 3.071, 3.071, 8.666 Å; angles 79.79, 79.79, 60.00 degrees
Sites, in units of the cell vectors:
C: 0.500 0.500 0.500
U: 0.106 0.106 0.682
U: 0.894 0.894 0.318
Pd: 0.000 0.000 0.000

The symmetry is R-3m, No. 166. The magnetization comes out at 0.0 μB per formula unit. The calculated volume comes out at 69.3 Å³ per cell. The formation energy comes out at -23 meV per atom.

***

No. 25
Here is VPdC2 after structural relaxation from Alexandria via LeMat-Bulk. Energies are from PBE-GGA.

Cell lengths 3.792, 3.792, 3.792 Å; angles 60.00, 60.00, 60.00 degrees
Sites, in units of the cell vectors:
C: 0.250 0.250 0.250
C: 0.750 0.750 0.750
Pd: 0.500 0.500 0.500
V: 0.000 0.000 0.000

The symmetry is Fm-3m, No. 225. The magnetization comes out at 0.0 μB per formula unit. The calculated volume comes out at 38.5 Å³ per cell. The formation energy comes out at 1169 meV per atom.

***

No. 26
Here is V3PdC after structural relaxation from Alexandria via LeMat-Bulk. Energies are from PBE-GGA.

Cell lengths 4.051, 4.922, 7.762 Å; angles 115.17, 90.00, 114.30 degrees
Sites, in units of the cell vectors:
V: 0.128 0.255 0.189
V: 0.872 0.745 0.811
V: 0.631 0.263 0.940
V: 0.369 0.737 0.060
V: 0.865 0.729 0.324
V: 0.135 0.271 0.676
Pd: 0.376 0.752 0.562
Pd: 0.624 0.248 0.438
C: 0.118 0.235 0.923
C: 0.882 0.765 0.077

The symmetry is C2/m, No. 12. The magnetization comes out at 0.0 μB per formula unit. The calculated volume comes out at 124.7 Å³ per cell. The formation energy comes out at -289 meV per atom.